Na5PbO5 | PBE | optimized geometry

Output
Crystal system ... monoclinic
Magnetization ... 0.100 μB per atom
Symmetry ... C2/m, No. 12
Theoretical density ... 4.108 g/cm3
ΔE_f (raw) ... -115.89 kJ per mole of atoms

a b c (Å): 4.6756 5.9861 6.6519
angles (deg): 106.96 90.00 112.99
Last column: nearest neighbours and their distance in Å.
Positions (direct):
Na (0.0000, 0.0000, 0.5000)  4 O 2.27-2.40
Na (0.3209, 0.6418, 0.1410)  5 O 2.36-2.46
Na (0.6954, 0.3908, 0.3254)  5 O 2.37-2.52
Na (0.6791, 0.3582, 0.8590)  5 O 2.36-2.46
Na (0.3046, 0.6092, 0.6746)  5 O 2.37-2.52
O (0.1536, 0.3072, 0.3126)  1 Pb 2.23, 5 Na 2.38-2.46
O (0.8595, 0.7191, 0.1662)  1 Pb 2.17, 5 Na 2.27-2.37
O (0.8464, 0.6928, 0.6874)  1 Pb 2.23, 5 Na 2.38-2.46
O (0.5000, 0.0000, 0.0000)  2 Pb 2.34, 4 Na 2.44-2.52
O (0.1405, 0.2809, 0.8338)  1 Pb 2.17, 5 Na 2.27-2.37
Pb (0.0000, 0.0000, 0.0000)  6 O 2.17-2.34